(1)
## ErSn3 (PBEsol)

Data for crystalline ErSn3 at its relaxed geometry.

Cell lengths 4.358, 4.315, 11.052 Å; angles 90.00, 101.37, 90.00 degrees
Fractional positions:
Sn1 0.402 0.000 0.804
Sn2 0.265 0.500 0.530
Sn3 0.642 0.000 0.285
Sn4 0.130 0.500 0.261
Sn5 0.901 0.500 0.803
Sn6 0.024 0.000 0.048
Er1 0.791 0.000 0.582
Er2 0.518 0.500 0.035

- N(E_F): 0.4472 states/eV per atom
- Raw total energy: -19.298 eV/f.u.
- Space group: No. 38
- Calculated volume: 203.8 Å³/cell

***

(2)
## LaNiPb (PBEsol)

Data for crystalline LaNiPb at its relaxed geometry.

Cell lengths 3.868, 4.594, 4.594 Å; angles 120.00, 90.00, 90.00 degrees
Fractional positions:
Pb1 0.500 0.667 0.333
Ni1 0.500 0.333 0.667
La1 0.000 0.000 0.000

- N(E_F): 0.5984 states/eV per atom
- Raw total energy: -16.667 eV/f.u.
- Space group: No. 187
- Calculated volume: 70.7 Å³/cell

***

(3)
## CsSc2Ru (PBEsol)

Data for crystalline CsSc2Ru at its relaxed geometry.

Cell lengths 3.827, 3.827, 10.219 Å; angles 79.21, 79.21, 60.00 degrees
Fractional positions:
Sc1 0.124 0.124 0.627
Sc2 0.876 0.876 0.373
Ru1 0.500 0.500 0.500
Cs1 0.000 0.000 0.000

- N(E_F): 1.1375 states/eV per atom
- Raw total energy: -23.516 eV/f.u.
- Space group: No. 166
- Calculated volume: 126.5 Å³/cell

***

(4)
## Li2P2Pb (PBEsol)

Data for crystalline Li2P2Pb at its relaxed geometry.

Cell lengths 4.187, 4.187, 5.839 Å; angles 111.01, 111.01, 90.00 degrees
Fractional positions:
Pb1 0.000 0.000 0.000
Li1 0.750 0.250 0.500
Li2 0.250 0.750 0.500
P1 0.610 0.610 0.220
P2 0.390 0.390 0.780

- N(E_F): 0.1903 states/eV per atom
- Raw total energy: -21.259 eV/f.u.
- Space group: No. 139
- Calculated volume: 88.2 Å³/cell

***

| no. | E_form (kJ/mol of atoms) | total moment (μB per formula unit) |
| --- | --- | --- |
| 1 | -38 | 0.0 |
| 2 | -37 | 0.0 |
| 3 | 20 | 0.0 |
| 4 | -34 | 0.0 |